# 1
The following is a PBE-GGA calculation of a relaxed structure of ScCuReSe2, from Alexandria via LeMat-Bulk.

**VASP energy**: -5.261 eV per atom

Structure (CIF):
```
data_ScCuReSe2
_chemical_formula_sum 'Sc1 Cu1 Re1 Se2'
_cell_length_a 4.717
_cell_length_b 4.717
_cell_length_c 4.650
_cell_angle_alpha 90.00
_cell_angle_beta 90.00
_cell_angle_gamma 90.00
_symmetry_space_group_name_H-M 'P 4/m m m'
_symmetry_Int_Tables_number 123
_symmetry_space_group_name_Hall '-P 4 2'
loop_
_atom_site_label
_atom_site_type_symbol
_atom_site_fract_x
_atom_site_fract_y
_atom_site_fract_z
Sc1 Sc 0.000 0.000 0.000
Cu1 Cu 0.500 0.500 0.500
Re1 Re 0.500 0.500 0.000
Se1 Se 0.000 0.500 0.500
```



# 2
The following is a PBE-GGA calculation of a relaxed structure of AgHgPt2, from Alexandria via LeMat-Bulk.

**Energy of formation from the pure elements**: 1.3 kcal/mol of atoms

Structure (CIF):
```
data_AgHgPt2
_chemical_formula_sum 'Ag2 Hg2 Pt4'
_cell_length_a 4.182
_cell_length_b 4.182
_cell_length_c 7.943
_cell_angle_alpha 90.00
_cell_angle_beta 90.00
_cell_angle_gamma 90.00
_symmetry_space_group_name_H-M 'I -4 m 2'
_symmetry_Int_Tables_number 119
_symmetry_space_group_name_Hall 'I -4 -2'
loop_
_atom_site_label
_atom_site_type_symbol
_atom_site_fract_x
_atom_site_fract_y
_atom_site_fract_z
Ag1 Ag 0.000 0.000 0.000
Hg1 Hg 0.000 0.500 0.750
Pt1 Pt 0.000 0.000 0.500
Pt2 Pt 0.000 0.500 0.250
```



# 3
The following is a PBE-GGA calculation of a relaxed structure of SrNdI6, from Alexandria via LeMat-Bulk.

**VASP energy**: -3.172 eV per atom

Structure (CIF):
```
data_SrNdI6
_chemical_formula_sum 'Sr1 Nd1 I6'
_cell_length_a 7.994
_cell_length_b 7.995
_cell_length_c 8.191
_cell_angle_alpha 61.32
_cell_angle_beta 61.49
_cell_angle_gamma 60.06
_symmetry_space_group_name_H-M 'P -1'
_symmetry_Int_Tables_number 2
_symmetry_space_group_name_Hall '-P 1'
loop_
_atom_site_label
_atom_site_type_symbol
_atom_site_fract_x
_atom_site_fract_y
_atom_site_fract_z
Sr1 Sr 0.000 0.000 0.000
Nd1 Nd 0.500 0.500 0.500
I1 I 0.076 0.734 0.746
I2 I 0.273 0.555 0.246
I3 I 0.440 0.079 0.752
```



# 4
The following is a PBE-GGA calculation of a relaxed structure of CrNiIr2, from Alexandria via LeMat-Bulk.

**Energy of formation from the pure elements**: 0.6 kcal/mol of atoms

Structure (CIF):
```
data_CrNiIr2
_chemical_formula_sum 'Cr1 Ni1 Ir2'
_cell_length_a 2.674
_cell_length_b 2.674
_cell_length_c 7.312
_cell_angle_alpha 90.00
_cell_angle_beta 90.00
_cell_angle_gamma 90.00
_symmetry_space_group_name_H-M 'P 4 m m'
_symmetry_Int_Tables_number 99
_symmetry_space_group_name_Hall 'P 4 -2'
loop_
_atom_site_label
_atom_site_type_symbol
_atom_site_fract_x
_atom_site_fract_y
_atom_site_fract_z
Cr1 Cr 0.000 0.000 0.000
Ni1 Ni 0.500 0.500 0.770
Ir1 Ir 0.000 0.000 0.521
Ir2 Ir 0.500 0.500 0.247
```



# 5
The following is a PBE-GGA calculation of a relaxed structure of Pr2DyY6, from Alexandria via LeMat-Bulk.

**Offset from the most stable computed form**: 0.21 kcal/mol of atoms
**Energy of formation from the pure elements**: 2.4 kcal/mol of atoms

Structure (CIF):
```
data_Pr2DyY6
_chemical_formula_sum 'Pr8 Dy4 Y24'
_cell_length_a 12.954
_cell_length_b 14.396
_cell_length_c 6.626
_cell_angle_alpha 90.00
_cell_angle_beta 103.49
_cell_angle_gamma 90.00
_symmetry_space_group_name_H-M 'C 1 2/c 1'
_symmetry_Int_Tables_number 15
_symmetry_space_group_name_Hall '-C 2yc'
loop_
_atom_site_label
_atom_site_type_symbol
_atom_site_fract_x
_atom_site_fract_y
_atom_site_fract_z
Pr1 Pr 0.142 0.026 0.374
Dy1 Dy 0.000 0.383 0.250
Y1 Y 0.035 0.189 0.004
Y2 Y 0.133 0.412 0.812
Y3 Y 0.241 0.200 0.729
```



# 6
The following is a PBE-GGA calculation of a relaxed structure of BaScZn, from Alexandria via LeMat-Bulk.

**Offset from the most stable computed form**: 6.38 kcal/mol of atoms
**Energy of formation from the pure elements**: 4.5 kcal/mol of atoms

Structure (CIF):
```
data_BaScZn
_chemical_formula_sum 'Ba1 Sc1 Zn1'
_cell_length_a 3.7335
_cell_length_b 3.7335
_cell_length_c 7.7036
_cell_angle_alpha 90.00
_cell_angle_beta 90.00
_cell_angle_gamma 120.00
_symmetry_space_group_name_H-M 'P 3 m 1'
_symmetry_Int_Tables_number 156
_symmetry_space_group_name_Hall 'P 3 -2"'
loop_
_atom_site_label
_atom_site_type_symbol
_atom_site_fract_x
_atom_site_fract_y
_atom_site_fract_z
Ba1 Ba 0.0000 0.0000 0.0000
Sc1 Sc 0.6667 0.3333 0.4214
Zn1 Zn 0.3333 0.6667 0.6579
```



# 7
The following is a PBE-GGA calculation of a relaxed structure of YOsRu2, from Alexandria via LeMat-Bulk.

**Offset from the most stable computed form**: 1.35 kcal/mol of atoms
**Energy of formation from the pure elements**: 5.1 kcal/mol of atoms

Structure (CIF):
```
data_YOsRu2
_chemical_formula_sum 'Y1 Os1 Ru2'
_cell_length_a 2.837
_cell_length_b 3.857
_cell_length_c 6.259
_cell_angle_alpha 90.00
_cell_angle_beta 90.00
_cell_angle_gamma 90.00
_symmetry_space_group_name_H-M 'P m m 2'
_symmetry_Int_Tables_number 25
_symmetry_space_group_name_Hall 'P 2 -2'
loop_
_atom_site_label
_atom_site_type_symbol
_atom_site_fract_x
_atom_site_fract_y
_atom_site_fract_z
Y1 Y 0.000 0.000 0.000
Os1 Os 0.500 0.500 0.305
Ru1 Ru 0.000 0.000 0.497
Ru2 Ru 0.500 0.500 0.709
```



# 8
The following is a PBE-GGA calculation of a relaxed structure of Cd8Cu2Rh, from Alexandria via LeMat-Bulk.

**Energy of formation from the pure elements**: -0.4 kcal/mol of atoms

Structure (CIF):
```
data_Cd8Cu2Rh
_chemical_formula_sum 'Cd16 Cu4 Rh2'
_cell_length_a 4.448
_cell_length_b 7.366
_cell_length_c 12.844
_cell_angle_alpha 90.00
_cell_angle_beta 90.00
_cell_angle_gamma 90.00
_symmetry_space_group_name_H-M 'I m m m'
_symmetry_Int_Tables_number 71
_symmetry_space_group_name_Hall '-I 2 2'
loop_
_atom_site_label
_atom_site_type_symbol
_atom_site_fract_x
_atom_site_fract_y
_atom_site_fract_z
Cd1 Cd 0.000 0.000 0.151
Cd2 Cd 0.000 0.216 0.348
Cd3 Cd 0.000 0.302 0.000
Cu1 Cu 0.000 0.500 0.197
Rh1 Rh 0.000 0.500 0.500
```



# 9
The following is a PBE-GGA calculation of a relaxed structure of Ba4LiAs, from Alexandria via LeMat-Bulk.

**Energy of formation from the pure elements**: 7.9 kcal/mol of atoms

Structure (CIF):
```
data_Ba4LiAs
_chemical_formula_sum 'Ba16 Li4 As4'
_cell_length_a 10.260
_cell_length_b 10.260
_cell_length_c 10.260
_cell_angle_alpha 90.00
_cell_angle_beta 90.00
_cell_angle_gamma 90.00
_symmetry_space_group_name_H-M 'F -4 3 m'
_symmetry_Int_Tables_number 216
_symmetry_space_group_name_Hall 'F -4 2 3'
loop_
_atom_site_label
_atom_site_type_symbol
_atom_site_fract_x
_atom_site_fract_y
_atom_site_fract_z
Ba1 Ba 0.123 0.123 0.377
Li1 Li 0.000 0.000 0.000
As1 As 0.250 0.250 0.750
```



# 10
The following is a PBE-GGA calculation of a relaxed structure of Nb2P5, from Alexandria via LeMat-Bulk.

**Energy of formation from the pure elements**: -13.2 kcal/mol of atoms

Structure (CIF):
```
data_Nb2P5
_chemical_formula_sum 'Nb8 P20'
_cell_length_a 16.860
_cell_length_b 3.358
_cell_length_c 7.950
_cell_angle_alpha 90.00
_cell_angle_beta 90.00
_cell_angle_gamma 90.00
_symmetry_space_group_name_H-M 'P n m a'
_symmetry_Int_Tables_number 62
_symmetry_space_group_name_Hall '-P 2ac 2n'
loop_
_atom_site_label
_atom_site_type_symbol
_atom_site_fract_x
_atom_site_fract_y
_atom_site_fract_z
Nb1 Nb 0.095 0.250 0.165
Nb2 Nb 0.226 0.750 0.673
P1 P 0.022 0.250 0.880
P2 P 0.040 0.250 0.462
P3 P 0.116 0.250 0.684
P4 P 0.184 0.750 0.995
P5 P 0.185 0.750 0.349
```